Compound: Rb2SnTeF6
Source: the Alexandria database
Functional: PBE
Structure: optimized geometry

* spin magnetization: 0.00 μB per formula unit
* space-group type: No. 139
* E_form (uncorrected): -21.7 eV/f.u.
* DOS at the Fermi energy: 0.000 states/eV per atom
* crystal system: tetragonal

Cell lengths 7.478, 7.478, 6.847 Å; angles 56.90, 56.90, 90.00 degrees
Positions (direct):
Te (0.000, 0.000, 0.000)
Sn (0.500, 0.500, 0.000)
Rb (0.750, 0.250, 0.500)
Rb (0.250, 0.750, 0.500)
F (0.263, 0.263, 0.474)
F (0.737, 0.737, 0.526)
F (0.311, 0.311, 0.000)
F (0.689, 0.689, 0.000)
F (0.689, 0.311, 0.000)
F (0.311, 0.689, 0.000)

Compound: Rb2TiSnF6
Source: the Alexandria database
Functional: PBE
Structure: optimized geometry

* spin magnetization: 1.77 μB per formula unit
* space-group type: No. 139
* E_form (uncorrected): -26.6 eV/f.u.
* DOS at the Fermi energy: 0.394 states/eV per atom
* crystal system: tetragonal

Cell lengths 6.221, 6.221, 6.950 Å; angles 63.41, 63.41, 90.00 degrees
Site moments in Bohr magnetons follow the coordinates.
Positions (direct):
F (0.321, 0.321, 0.358)  0.00
F (0.679, 0.679, 0.642)  0.00
F (0.271, 0.271, 0.000)  0.01
F (0.729, 0.729, 0.000)  0.01
F (0.729, 0.271, 0.000)  0.01
F (0.271, 0.729, 0.000)  0.01
Sn (0.000, 0.000, 0.000)  0.31
Rb (0.750, 0.250, 0.500)  0.01
Rb (0.250, 0.750, 0.500)  0.01
Ti (0.500, 0.500, 0.000)  0.84

Compound: RbTlSnF6
Source: the Alexandria database
Functional: PBE
Structure: optimized geometry

* spin magnetization: 0.00 μB per formula unit
* space-group type: No. 163
* E_form (uncorrected): -22.5 eV/f.u.
* DOS at the Fermi energy: 0.000 states/eV per atom
* crystal system: trigonal

Cell lengths 6.824, 6.824, 9.026 Å; angles 90.00, 90.00, 120.00 degrees
Positions (direct):
Rb (0.333, 0.667, 0.250)
Rb (0.667, 0.333, 0.750)
Tl (0.000, 0.000, 0.000)
Tl (0.000, 0.000, 0.500)
Sn (0.667, 0.333, 0.250)
Sn (0.333, 0.667, 0.750)
F (0.674, 0.581, 0.126)
F (0.908, 0.326, 0.126)
F (0.326, 0.908, 0.626)
F (0.092, 0.674, 0.874)
F (0.419, 0.326, 0.374)
F (0.908, 0.581, 0.374)
F (0.581, 0.908, 0.874)
F (0.674, 0.092, 0.374)
F (0.092, 0.419, 0.626)
F (0.419, 0.092, 0.126)
F (0.581, 0.674, 0.626)
F (0.326, 0.419, 0.874)

Compound: Rb2TlSn2F7
Source: the Alexandria database
Functional: PBE
Structure: optimized geometry

* spin magnetization: 0.00 μB per formula unit
* space-group type: No. 12
* E_form (uncorrected): -28.1 eV/f.u.
* DOS at the Fermi energy: 0.000 states/eV per atom
* crystal system: monoclinic

Cell lengths 4.861, 4.861, 11.975 Å; angles 82.06, 82.06, 101.80 degrees
Positions (direct):
Rb (0.799, 0.799, 0.373)
Rb (0.201, 0.201, 0.627)
Tl (0.000, 0.000, 0.000)
Sn (0.640, 0.640, 0.801)
Sn (0.360, 0.360, 0.199)
F (0.500, 0.500, 0.000)
F (0.308, 0.308, 0.393)
F (0.692, 0.692, 0.607)
F (0.804, 0.433, 0.203)
F (0.433, 0.804, 0.203)
F (0.567, 0.196, 0.797)
F (0.196, 0.567, 0.797)

Compound: Rb2TlSnF6
Source: the Alexandria database
Functional: PBE
Structure: optimized geometry

* spin magnetization: 0.00 μB per formula unit
* space-group type: No. 166
* E_form (uncorrected): -24.2 eV/f.u.
* DOS at the Fermi energy: 0.000 states/eV per atom
* crystal system: trigonal

Cell lengths 6.891, 6.891, 12.171 Å; angles 73.55, 73.55, 60.00 degrees
Positions (direct):
Rb (0.855, 0.855, 0.436)
Rb (0.145, 0.145, 0.564)
Rb (0.738, 0.738, 0.786)
Rb (0.262, 0.262, 0.214)
Tl (0.596, 0.596, 0.211)
Tl (0.404, 0.404, 0.789)
Sn (0.000, 0.000, 0.000)
Sn (0.500, 0.500, 0.500)
F (0.871, 0.374, 0.381)
F (0.374, 0.871, 0.381)
F (0.374, 0.374, 0.381)
F (0.129, 0.626, 0.619)
F (0.626, 0.129, 0.619)
F (0.626, 0.626, 0.619)
F (0.762, 0.170, 0.897)
F (0.170, 0.762, 0.897)
F (0.170, 0.170, 0.897)
F (0.238, 0.830, 0.103)
F (0.830, 0.238, 0.103)
F (0.830, 0.830, 0.103)

Compound: RbTmSnF6
Source: the Alexandria database
Functional: PBE
Structure: optimized geometry

* spin magnetization: 0.00 μB per formula unit
* space-group type: No. 143
* E_form (uncorrected): -28.8 eV/f.u.
* DOS at the Fermi energy: 0.000 states/eV per atom
* crystal system: trigonal

Cell lengths 6.287, 6.287, 5.131 Å; angles 90.01, 89.99, 59.98 degrees
Positions (direct):
Rb (0.000, 0.000, 0.055)
Tm (0.333, 0.333, 0.478)
Sn (0.667, 0.667, 0.552)
F (0.988, 0.429, 0.275)
F (0.291, 0.071, 0.697)
F (0.638, 0.291, 0.697)
F (0.071, 0.638, 0.696)
F (0.430, 0.583, 0.275)
F (0.583, 0.987, 0.275)